Cu2AgSn | GGA-PBE | relaxed

abc: 4.939 4.939 7.270
angles: 90.00 90.00 126.53
Element x y z (fractional)
Cu 0.241 0.759 0.580
Cu 0.241 0.759 0.920
Cu 0.759 0.241 0.080
Cu 0.759 0.241 0.420
Ag 0.073 0.927 0.250
Ag 0.927 0.073 0.750
Sn 0.390 0.610 0.250
Sn 0.610 0.390 0.750

Properties
As for the formation energy from the elements: 0.127 eV per atom.

Sr2LiPaSe5 | GGA-PBE | relaxed

abc: 9.204 9.204 13.402
angles: 90.00 90.00 153.08
Element x y z (fractional)
Sr 0.088 0.912 0.500
Sr 0.118 0.882 0.144
Sr 0.882 0.118 0.644
Sr 0.912 0.088 0.000
Li 0.439 0.561 0.280
Li 0.561 0.439 0.780
Pa 0.218 0.782 0.858
Pa 0.782 0.218 0.358
Se 0.070 0.930 0.888
Se 0.271 0.729 0.499
Se 0.294 0.706 0.222
Se 0.370 0.630 0.832
Se 0.499 0.501 0.111
Se 0.501 0.499 0.611
Se 0.630 0.370 0.332
Se 0.706 0.294 0.722
Se 0.729 0.271 0.999
Se 0.930 0.070 0.388

Properties
The formation energy without anion corrections comes out at -1.628 eV per atom.

PrHoCuOs | GGA-PBE | relaxed

abc: 4.944 4.944 4.944
angles: 60.00 60.00 60.00
Element x y z (fractional)
Pr 0.000 0.000 0.000
Ho 0.500 0.500 0.500
Cu 0.250 0.250 0.250
Os 0.750 0.750 0.750

Properties
As for the formation energy from the elements: -0.132 eV per atom.

KNa2SbPt | GGA-PBE | relaxed

abc: 5.607 5.607 5.079
angles: 90.00 90.00 90.00
Element x y z (fractional)
K 0.000 0.000 0.000
Na 0.000 0.500 0.500
Na 0.500 0.000 0.500
Sb 0.500 0.500 0.000
Pt 0.500 0.500 0.500

Properties
The formation energy without anion corrections comes out at -0.298 eV per atom.

LaMg2Si2Pd | GGA-PBE | relaxed

abc: 6.564 6.564 6.564
angles: 134.13 134.13 66.89
Element x y z (fractional)
La 0.000 0.000 0.000
Mg 0.250 0.750 0.500
Mg 0.750 0.250 0.500
Si 0.291 0.291 0.000
Si 0.709 0.709 0.000
Pd 0.500 0.500 0.000

Properties
The formation energy without anion corrections comes out at -0.124 eV per atom.

Ac5Pr5Y2 | GGA-PBE | relaxed

abc: 9.207 9.207 10.123
angles: 118.46 118.46 39.24
Element x y z (fractional)
Ac 0.000 0.000 0.000
Ac 0.177 0.177 0.852
Ac 0.263 0.263 0.307
Ac 0.737 0.737 0.693
Ac 0.823 0.823 0.148
Pr 0.350 0.350 0.717
Pr 0.425 0.425 0.130
Pr 0.500 0.500 0.500
Pr 0.575 0.575 0.870
Pr 0.650 0.650 0.283
Y 0.087 0.087 0.424
Y 0.913 0.913 0.576

Properties
As for the formation energy from the elements: 0.102 eV per atom.

VGaNiIr | GGA-PBE | relaxed

abc: 4.233 4.233 4.233
angles: 60.00 60.00 60.00
Element x y z (fractional)
V 0.000 0.000 0.000
Ga 0.500 0.500 0.500
Ni 0.750 0.750 0.750
Ir 0.250 0.250 0.250

Properties
As for the formation energy from the elements: -0.348 eV per atom. The energy above the most stable polymorph in this dataset comes out at 64 meV per atom.

AcAl2SiOs | GGA-PBE | relaxed

abc: 6.423 6.423 6.423
angles: 142.23 141.92 54.72
Element x y z (fractional)
Ac 0.000 0.000 0.000
Al 0.371 0.371 0.000
Al 0.742 0.242 0.500
Si 0.619 0.619 0.000
Os 0.238 0.738 0.500

Properties
The formation energy without anion corrections comes out at -0.384 eV per atom.

SrNi2Cl | GGA-PBE | relaxed

abc: 8.259 8.259 8.259
angles: 146.46 146.46 48.17
Element x y z (fractional)
Sr 0.375 0.625 0.750
Sr 0.625 0.375 0.250
Ni 0.000 0.000 0.000
Ni 0.000 0.000 0.500
Ni 0.000 0.500 0.000
Ni 0.500 0.000 0.500
Cl 0.125 0.875 0.250
Cl 0.875 0.125 0.750

Properties
The formation energy without anion corrections comes out at -0.056 eV per atom. The energy above the most stable polymorph in this dataset comes out at 311 meV per atom.

CsRbTa2Tl | GGA-PBE | relaxed

abc: 5.397 5.397 6.281
angles: 90.00 90.00 90.00
Element x y z (fractional)
Cs 0.000 0.000 0.000
Rb 0.500 0.500 0.500
Ta 0.000 0.500 0.500
Ta 0.500 0.000 0.500
Tl 0.500 0.500 0.000

Properties
As for the formation energy from the elements: 2.676 eV per atom.

CoPt2Pb | GGA-PBE | relaxed

abc: 3.096 3.096 7.259
angles: 90.00 90.00 90.00
Element x y z (fractional)
Co 0.000 0.000 0.000
Pt 0.500 0.500 0.200
Pt 0.500 0.500 0.800
Pb 0.000 0.000 0.500

Properties
As for the formation energy from the elements: 0.113 eV per atom.

FeIr2Cl | GGA-PBE | relaxed

abc: 2.824 3.727 7.127
angles: 90.00 90.00 90.00
Element x y z (fractional)
Fe 0.000 0.000 0.000
Ir 0.000 0.000 0.365
Ir 0.500 0.500 0.232
Cl 0.500 0.500 0.803

Properties
The formation energy without anion corrections comes out at 0.498 eV per atom. The energy above the most stable polymorph in this dataset comes out at 158 meV per atom.